DFT (PBE) results for an optimized crystal structure of Al2GeIr.

a b c (Å): 4.428 4.428 4.428
angles (deg): 60.00 60.00 60.00
Element x y z (fractional)
Ge 0.750 0.750 0.750
Ir 0.500 0.500 0.500
Al 0.250 0.250 0.250
Al 0.000 0.000 0.000

Computed properties:
VASP energy, eV/atom: -5.332
M_tot, μB/atom: 0.00
Theoretical density, g/cm3: 8.62
SG: No. 216


DFT (PBE) results for an optimized crystal structure of Al6GeIr2.

a b c (Å): 7.127 7.127 3.184
angles (deg): 90.00 90.00 120.00
Element x y z (fractional)
Al 0.708 0.000 0.500
Ir 0.333 0.667 0.500
Ge 0.000 0.000 0.000
Al 0.292 0.292 0.500
Al 0.387 0.000 0.000
Al 0.000 0.708 0.500
Ir 0.667 0.333 0.500
Al 0.613 0.613 0.000
Al 0.000 0.387 0.000

Computed properties:
VASP energy, eV/atom: -5.353
M_tot, μB/atom: 0.00
Theoretical density, g/cm3: 7.34
SG: No. 189